A plane-wave DFT calculation with PBE was carried out for crystalline BiSbO2 at its relaxed geometry.

## Properties
ΔE_f (raw) (eV/atom): -0.157
Fermi-level density of states (states/eV/f.u.): 2.06
SG: Fm-3m (225)
Relative energy among the computed polymorphs (meV/atom): 677.5
Magnetization (Bohr magnetons per cell): 0.00

Cell lengths 4.4830, 4.4830, 4.4830 Å; angles 60.00, 60.00, 60.00 degrees
Closest atoms and distances in Å follow each position.
Fractional positions:
1 Sb 0.0000 0.0000 0.0000  8 O 2.75
2 Bi 0.5000 0.5000 0.5000  8 O 2.75
3 O 0.2500 0.2500 0.2500  4 Bi 2.75, 4 Sb 2.75
4 O 0.7500 0.7500 0.7500  4 Bi 2.75, 4 Sb 2.75

***

A plane-wave DFT calculation with PBE was carried out for crystalline Bi2SbO6 at its relaxed geometry.

## Properties
ΔE_f (raw) (eV/atom): -1.042
Fermi-level density of states (states/eV/f.u.): 3.80
SG: Immm (71)
Relative energy among the computed polymorphs (meV/atom): 0.0
Magnetization (Bohr magnetons per cell): 0.00

Cell lengths 3.9142, 5.4389, 6.5296 Å; angles 114.61, 107.44, 90.00 degrees
Closest atoms and distances in Å follow each position.
Fractional positions:
1 Bi 0.6614 0.6614 0.3228  8 O 2.37-2.49
2 Bi 0.3386 0.3386 0.6772  8 O 2.37-2.49
3 Sb 0.0000 0.0000 0.0000  8 O 2.11-2.29
4 O 0.1488 0.3867 0.2978  1 Sb 2.11
5 O 0.8512 0.0889 0.7022  1 Sb 2.11
6 O 0.8512 0.6133 0.7022  1 Sb 2.11
7 O 0.5000 0.2199 0.0000  2 Sb 2.29, 2 Bi 2.37, 1 O 2.39
8 O 0.1488 0.9111 0.2978  1 Sb 2.11
9 O 0.5000 0.7801 0.0000  2 Sb 2.29, 2 Bi 2.37, 1 O 2.39

***

A plane-wave DFT calculation with PBE was carried out for crystalline BiSbO5 at its relaxed geometry.

## Properties
ΔE_f (raw) (eV/atom): -0.832
Fermi-level density of states (states/eV/f.u.): 0.03
SG: P2_1/c (14)
Magnetization (Bohr magnetons per cell): 0.00

Cell lengths 11.0489, 5.8569, 7.9512 Å; angles 70.26, 90.00, 90.00 degrees
Closest atoms and distances in Å follow each position.
Fractional positions:
1 Bi 0.1227 0.0528 0.8512  5 O 2.11-2.28
2 Bi 0.8773 0.9472 0.1488  5 O 2.11-2.28
3 Bi 0.3773 0.0528 0.3512  5 O 2.11-2.28
4 Bi 0.6227 0.9472 0.6488  5 O 2.11-2.28
5 Sb 0.6009 0.0493 0.1249  6 O 1.99-2.15
6 Sb 0.3991 0.9507 0.8751  6 O 1.99-2.15
7 Sb 0.1009 0.9507 0.3751  6 O 1.99-2.15
8 Sb 0.8991 0.0493 0.6249  6 O 1.99-2.15
9 O 0.0615 0.8673 0.6379  2 Sb 2.03-2.07
10 O 0.0085 0.3032 0.6669  1 Sb 2.03, 1 Bi 2.11
11 O 0.2113 0.2337 0.3450  1 Sb 2.01, 1 Bi 2.11
12 O 0.5660 0.8868 0.4068  1 Sb 2.15, 2 Bi 2.16-2.28
13 O 0.2536 0.7597 0.4041  1 Sb 1.99, 1 Bi 2.12
14 O 0.2464 0.7597 0.9041  1 Sb 1.99, 1 Bi 2.12
15 O 0.4915 0.3032 0.1669  1 Sb 2.03, 1 Bi 2.11
16 O 0.5085 0.6968 0.8331  1 Sb 2.03, 1 Bi 2.11
17 O 0.4340 0.1132 0.5932  1 Sb 2.15, 2 Bi 2.16-2.28
18 O 0.5615 0.1327 0.8621  2 Sb 2.03-2.07
19 O 0.7464 0.2403 0.5959  1 Sb 1.99, 1 Bi 2.12
20 O 0.9385 0.1327 0.3621  2 Sb 2.03-2.07
21 O 0.4385 0.8673 0.1379  2 Sb 2.03-2.07
22 O 0.7536 0.2403 0.0959  1 Sb 1.99, 1 Bi 2.12
23 O 0.0660 0.1132 0.0932  1 Sb 2.15, 2 Bi 2.16-2.28
24 O 0.9340 0.8868 0.9068  1 Sb 2.15, 2 Bi 2.16-2.28
25 O 0.7887 0.7663 0.6550  1 Sb 2.01, 1 Bi 2.11
26 O 0.9915 0.6968 0.3331  1 Sb 2.03, 1 Bi 2.11
27 O 0.7113 0.7663 0.1550  1 Sb 2.01, 1 Bi 2.11
28 O 0.2887 0.2337 0.8450  1 Sb 2.01, 1 Bi 2.11

***

A plane-wave DFT calculation with PBE was carried out for crystalline BiSb2O at its relaxed geometry.

## Properties
ΔE_f (raw) (eV/atom): -0.162
Fermi-level density of states (states/eV/f.u.): 2.65
SG: I-42d (122)
Magnetization (Bohr magnetons per cell): 0.00

Cell lengths 5.7837, 5.7837, 7.9103 Å; angles 68.56, 68.56, 90.00 degrees
Closest atoms and distances in Å follow each position.
Fractional positions:
1 Sb 0.4850 0.1250 0.2500  2 O 2.32
2 Sb 0.2650 0.6250 0.2500  2 O 2.32
3 Sb 0.3750 0.5150 0.7500  2 O 2.32
4 Sb 0.8750 0.7350 0.7500  2 O 2.32
5 Bi 0.0000 0.0000 0.0000  4 Sb 3.17
6 Bi 0.7500 0.2500 0.5000  4 Sb 3.17
7 O 0.5000 0.5000 0.0000  4 Sb 2.32
8 O 0.2500 0.7500 0.5000  4 Sb 2.32